1.
First-principles (PBE) data for AlAg2W after structural relaxation, as listed in the Open Quantum Materials Database.

Unit cell a=4.540 b=4.540 c=4.540 alpha=60.00 beta=60.00 gamma=60.00
Element x y z (fractional)
Al 0.500 0.500 0.500
Ag 0.750 0.750 0.750
Ag 0.000 0.000 0.000
W 0.250 0.250 0.250

Output
- total magnetization (μB/f.u.) = 1.36
- final energy (eV for the cell shown) = -20.1

2.
First-principles (PBE) data for YAlAg2 after structural relaxation, as listed in the Open Quantum Materials Database.

Unit cell a=4.824 b=4.824 c=4.824 alpha=60.00 beta=60.00 gamma=60.00
Element x y z (fractional)
Ag 0.750 0.750 0.750
Ag 0.000 0.000 0.000
Y 0.250 0.250 0.250
Al 0.500 0.500 0.500

Output
- total magnetization (μB/f.u.) = 0.00
- final energy (eV for the cell shown) = -16.8

3.
First-principles (PBE) data for YAlAg2 after structural relaxation, as listed in the Open Quantum Materials Database.

Unit cell a=4.828 b=6.792 c=14.484 alpha=90.00 beta=90.00 gamma=90.00
Element x y z (fractional)
Y 0.500 0.000 0.833
Y 0.500 0.000 0.167
Y 0.000 0.500 0.000
Y 0.500 0.000 0.500
Y 0.000 0.500 0.333
Y 0.000 0.500 0.667
Ag 0.500 0.750 0.000
Ag 0.500 0.250 0.667
Ag 0.000 0.250 0.167
Ag 0.500 0.250 0.333
Ag 0.500 0.750 0.667
Ag 0.500 0.750 0.333
Ag 0.000 0.750 0.500
Ag 0.000 0.750 0.833
Ag 0.000 0.250 0.500
Ag 0.000 0.250 0.833
Ag 0.000 0.750 0.167
Ag 0.500 0.250 0.000
Al 0.000 0.000 0.667
Al 0.500 0.500 0.167
Al 0.500 0.500 0.500
Al 0.500 0.500 0.833
Al 0.000 0.000 0.333
Al 0.000 0.000 0.000

Output
- total magnetization (μB/f.u.) = 0.00
- final energy (eV for the cell shown) = -103.3

4.
First-principles (PBE) data for YAlAg2 after structural relaxation, as listed in the Open Quantum Materials Database.

Unit cell a=4.939 b=4.939 c=7.894 alpha=90.00 beta=90.00 gamma=120.00
Element x y z (fractional)
Y 0.000 0.000 0.000
Y 0.000 0.000 0.500
Ag 0.667 0.333 0.084
Ag 0.333 0.667 0.916
Ag 0.333 0.667 0.584
Ag 0.667 0.333 0.416
Al 0.333 0.667 0.250
Al 0.667 0.333 0.750

Output
- total magnetization (μB/f.u.) = 0.00
- final energy (eV for the cell shown) = -33.3

5.
First-principles (PBE) data for YAlAg2 after structural relaxation, as listed in the Open Quantum Materials Database.

Unit cell a=5.647 b=7.211 c=7.982 alpha=90.00 beta=90.00 gamma=90.00
Element x y z (fractional)
Ag 0.106 0.050 0.321
Ag 0.606 0.950 0.179
Ag 0.394 0.050 0.821
Ag 0.894 0.550 0.679
Ag 0.894 0.950 0.679
Ag 0.606 0.550 0.179
Ag 0.106 0.450 0.321
Ag 0.394 0.450 0.821
Al 0.851 0.750 0.389
Al 0.149 0.250 0.611
Al 0.649 0.750 0.889
Al 0.351 0.250 0.111
Y 0.644 0.250 0.453
Y 0.144 0.750 0.047
Y 0.856 0.250 0.953
Y 0.356 0.750 0.547

Output
- total magnetization (μB/f.u.) = 0.00
- final energy (eV for the cell shown) = -68.8

6.
First-principles (PBE) data for Y2Al5Ag5 after structural relaxation, as listed in the Open Quantum Materials Database.

Unit cell a=4.423 b=5.428 c=9.524 alpha=90.00 beta=90.00 gamma=90.00
Element x y z (fractional)
Al 0.500 0.252 0.755
Al 0.500 0.748 0.755
Al 0.500 0.252 0.245
Al 0.500 0.748 0.245
Al 0.500 0.500 0.500
Ag 0.000 0.500 0.335
Ag 0.000 0.000 0.180
Ag 0.000 0.000 0.820
Ag 0.000 0.500 0.665
Ag 0.500 0.000 0.000
Y 0.000 0.000 0.500
Y 0.000 0.500 0.000

Output
- total magnetization (μB/f.u.) = 0.00
- final energy (eV for the cell shown) = -49.8

7.
First-principles (PBE) data for YAlAg2 after structural relaxation, as listed in the Open Quantum Materials Database.

Unit cell a=3.320 b=3.320 c=7.233 alpha=90.00 beta=90.00 gamma=90.00
Element x y z (fractional)
Y 0.000 0.000 0.500
Al 0.000 0.000 0.000
Ag 0.500 0.500 0.789
Ag 0.500 0.500 0.211

Output
- total magnetization (μB/f.u.) = 0.04
- final energy (eV for the cell shown) = -16.6

8.
First-principles (PBE) data for Y3AlAg2 after structural relaxation, as listed in the Open Quantum Materials Database.

Unit cell a=3.596 b=3.596 c=11.038 alpha=90.00 beta=90.00 gamma=90.00
Element x y z (fractional)
Ag 0.000 0.000 0.830
Ag 0.000 0.000 0.170
Y 0.500 0.500 0.665
Y 0.500 0.500 0.000
Y 0.500 0.500 0.335
Al 0.000 0.000 0.500

Output
- total magnetization (μB/f.u.) = 0.00
- final energy (eV for the cell shown) = -31.0